9
Lattice="-0.813 0.309 -3.845 2.924 -7.072 -1.187 -7.518 0.838 1.657" Properties=species:S:1:pos:R:3 comment="Nd2GdIn3CuPt2, relaxed, DFT PBE" final_energy_ha_per_atom=-0.1857 magnetic_moment_mub_per_atom=0.001 pbc="T T T"
Nd -5.803 -3.305 0.961
Nd -1.481 -6.579 -0.216
Cu -0.010 -0.013 0.001
In 0.304 -1.599 -2.214
Pt -0.991 -4.246 -2.153
Pt -4.404 -1.661 -1.223
In -3.858 -4.528 -1.569
Gd -1.903 -2.582 0.195
In -2.267 0.348 -1.513